Below is a relaxed structure of ZrUTcMo, with properties calculated at the PBE level.

Density of states at the Fermi level   29.0 states/eV/cell
Formation energy from the elements   -8 meV per atom
Total DFT energy (no corrections)   -10.27 eV per atom
Magnetic moment   0.89 μB/f.u.

a b c (Å): 6.6877 6.6877 6.6877
angles (deg): 90.00 90.00 90.00
Closest atoms and distances in Å follow each position.
Space group F-43m (No. 216)
Unique sites:
1 Zr 0.0000 0.0000 0.0000 (multiplicity 4)  4 Mo 2.90, 4 Tc 2.90
2 U 0.0000 0.0000 0.5000 (multiplicity 4)  4 Tc 2.90, 4 Mo 2.90
3 Tc 0.2500 0.2500 0.7500 (multiplicity 4)  4 Zr 2.90, 4 U 2.90
4 Mo 0.2500 0.2500 0.2500 (multiplicity 4)  4 Zr 2.90, 4 U 2.90



Below is a relaxed structure of BaYAg, with properties calculated at the PBE level.

Density of states at the Fermi level   2.8 states/eV/cell
Offset from the most stable computed form   15.6 kJ per mole of atoms
Formation energy from the elements   78 meV per atom
Total DFT energy (no corrections)   -3.67 eV per atom
Magnetic moment   0.00 μB/f.u.

a b c (Å): 5.2068 5.2068 4.5661
angles (deg): 90.00 90.00 120.00
Closest atoms and distances in Å follow each position.
Space group P-6m2 (No. 187)
Unique sites:
1 Ba 0.0000 0.0000 0.0000 (multiplicity 1)  6 Ag 3.77, 6 Y 3.77
2 Y 0.6667 0.3333 0.5000 (multiplicity 1)  3 Ag 3.01
3 Ag 0.3333 0.6667 0.5000 (multiplicity 1)  3 Y 3.01